The following is a DFT calculation (GGA+U) of a geometry-optimized PaTlV2O8 structure.

a b c (Å): 5.9164 5.9164 7.8578
angles (deg): 90.00 90.00 120.00
Space group P-3m1 (No. 164)
Inequivalent atoms, fractional coordinates:
Pa 0.0000 0.0000 0.0000
Tl 0.0000 0.0000 0.5000
V 0.3333 0.6667 0.7590
O 0.1693 0.3386 0.8341
O 0.3333 0.6667 0.5496

Computed properties:
DOS at the Fermi energy: 0.00 states/eV/cell
E_tot: -0.28742 hartree per atom